[1]
The following is a PBE-GGA calculation of an optimized crystal structure of NaAgSnCl4, from Alexandria.

Unit cell a=8.1556 b=8.3631 c=11.6400 alpha=90.00 beta=90.00 gamma=90.00
With the nearest neighbours (Å) after each atom.
Space group Imma (No. 74)
One atom of each set of equivalent atoms:
Na  0.2500  0.2500  0.2500 [4 per cell]  6 Cl 2.83-2.88
Ag  0.0000  0.2500  0.6432 [4 per cell]  4 Cl 2.59-2.69
Sn  0.0000  0.0000  0.0000 [4 per cell]  6 Cl 2.84-2.89
Cl  0.0000  0.0164  0.2435 [8 per cell]  1 Ag 2.59, 2 Na 2.83, 1 Sn 2.84
Cl  0.2447  0.2500  0.0030 [8 per cell]  1 Ag 2.69, 1 Na 2.88, 2 Sn 2.89

Results
Uncorrected formation energy = -1.07 eV per atom
DFT total energy = -0.242 Ry/atom
DOS(E_F) = 0.00 states/eV per atom

[2]
The following is a PBE-GGA calculation of an optimized crystal structure of NaAgSn2Cl6, from Alexandria.

Unit cell a=7.3149 b=7.3233 c=7.6632 alpha=118.51 beta=90.04 gamma=119.94
With the nearest neighbours (Å) after each atom.
Space group P1 (No. 1)
One atom of each set of equivalent atoms:
Na  0.0000  0.0000  0.0000 [1 per cell]  6 Cl 2.77-2.92
Ag  0.5098  0.0210  0.5310 [1 per cell]  3 Cl 2.67
Sn  0.3102  0.6207  0.9314 [1 per cell]  3 Cl 2.66
Sn  0.8054  0.6112  0.4171 [1 per cell]  3 Cl 2.69
Cl  0.1224  0.8165  0.1871 [1 per cell]  1 Sn 2.66, 1 Na 2.78
Cl  0.1935  0.8164  0.6816 [1 per cell]  1 Ag 2.67, 1 Sn 2.69, 1 Na 2.92
Cl  0.3700  0.4922  0.1866 [1 per cell]  1 Sn 2.66, 1 Na 2.77
Cl  0.6229  0.4880  0.6815 [1 per cell]  1 Ag 2.67, 1 Sn 2.69, 1 Na 2.92
Cl  0.6932  0.0632  0.1863 [1 per cell]  1 Sn 2.66, 1 Na 2.77
Cl  0.8642  0.0573  0.6807 [1 per cell]  1 Ag 2.67, 1 Sn 2.69, 1 Na 2.92

Results
Uncorrected formation energy = -1.05 eV per atom
DFT total energy = -0.248 Ry/atom
DOS(E_F) = 0.00 states/eV per atom